MgGaFe2H | Alexandria | PBE | optimized geometry; total moment = 0.74 μB per atom; total DFT energy (no corrections) = -4.95 eV per atom
1.0
3.735 0.000 0.000
0.000 3.735 0.000
0.000 0.000 4.034
Mg Ga Fe H
1 1 2 1
direct
0.000 0.000 0.000 Mg
0.500 0.500 0.000 Ga
0.000 0.500 0.500 Fe
0.500 0.000 0.500 Fe
0.000 0.000 0.500 H